This record from Alexandria via LeMat-Bulk describes a relaxed structure of KTe2Br. The functional is PBE.

Geometry as CIF:
```
data_KTe2Br
_chemical_formula_sum 'K1 Te2 Br1'
_space_group_name_H-M_alt 'P 1'
_space_group_IT_number 1
_cell_length_a 5.717
_cell_length_b 5.717
_cell_length_c 5.717
_cell_angle_alpha 60.00
_cell_angle_beta 60.00
_cell_angle_gamma 60.00
loop_
_space_group_symop_operation_xyz
'x,y,z'
loop_
_atom_site_label
_atom_site_fract_x
_atom_site_fract_y
_atom_site_fract_z
K1 0.000 0.000 0.000
Te1 0.250 0.250 0.250
Te2 0.750 0.750 0.750
Br1 0.500 0.500 0.500
```

Uncorrected formation energy ... 1.95 kcal/mol of atoms
Crystal system ... cubic
ΔE to the lowest computed polymorph ... 3.21 eV per formula unit
Total energy ... -2.179 eV/atom
D(E_F) ... 7.9 states/eV/cell

---

This record from Alexandria via LeMat-Bulk describes a relaxed structure of KTe2Br. The functional is PBE.

Geometry as CIF:
```
data_KTe2Br
_chemical_formula_sum 'K1 Te2 Br1'
_space_group_name_H-M_alt 'P 1'
_space_group_IT_number 1
_cell_length_a 11.817
_cell_length_b 11.817
_cell_length_c 11.817
_cell_angle_alpha 17.63
_cell_angle_beta 17.63
_cell_angle_gamma 17.63
loop_
_space_group_symop_operation_xyz
'x,y,z'
loop_
_atom_site_label
_atom_site_fract_x
_atom_site_fract_y
_atom_site_fract_z
K1 0.000 0.000 0.000
Te1 0.906 0.906 0.906
Te2 0.094 0.094 0.094
Br1 0.500 0.500 0.500
```

Uncorrected formation energy ... 5.19 kcal/mol of atoms
Crystal system ... trigonal
ΔE to the lowest computed polymorph ... 3.78 eV per formula unit
Total energy ... -2.038 eV/atom
D(E_F) ... 3.2 states/eV/cell

---

This record from Alexandria via LeMat-Bulk describes a relaxed structure of K2TeBr4. The functional is PBE.

Geometry as CIF:
```
data_K2TeBr4
_chemical_formula_sum 'K2 Te1 Br4'
_space_group_name_H-M_alt 'P 1'
_space_group_IT_number 1
_cell_length_a 6.046
_cell_length_b 6.046
_cell_length_c 9.069
_cell_angle_alpha 70.53
_cell_angle_beta 70.53
_cell_angle_gamma 90.00
loop_
_space_group_symop_operation_xyz
'x,y,z'
loop_
_atom_site_label
_atom_site_fract_x
_atom_site_fract_y
_atom_site_fract_z
K1 0.625 0.625 0.751
K2 0.375 0.375 0.249
Te1 0.000 0.000 0.000
Br1 0.827 0.827 0.346
Br2 0.173 0.173 0.654
Br3 0.000 0.500 0.000
Br4 0.500 0.000 0.000
```

Uncorrected formation energy ... -23.09 kcal/mol of atoms
Crystal system ... tetragonal
ΔE to the lowest computed polymorph ... 0.82 eV per formula unit
Total energy ... -2.719 eV/atom
D(E_F) ... 2.2 states/eV/cell